Record 1
The following is a PBE-GGA calculation of a relaxed Tm8PuIn2 crystal, from Alexandria via LeMat-Bulk.

As for the total magnetization: 0.59 μB/atom. The calculation puts the energy at -5.180 eV per atom. The energy relative to the elements comes out at -128 meV per atom.

CIF file:
```
data_Tm8PuIn2
_space_group_name_H-M_alt 'C 1 2/m 1'
_space_group_IT_number 12
_cell_length_a 16.6148
_cell_length_b 5.0311
_cell_length_c 7.9777
_cell_angle_alpha 90.00
_cell_angle_beta 111.09
_cell_angle_gamma 90.00
loop_
_space_group_symop_operation_xyz
'x,y,z'
'-x,-y,-z'
'-x,y,-z'
'x,-y,z'
'x+1/2,y+1/2,z'
'-x+1/2,-y+1/2,-z'
'-x+1/2,y+1/2,-z'
'x+1/2,-y+1/2,z'
loop_
_atom_site_label
_atom_site_type_symbol
_atom_site_fract_x
_atom_site_fract_y
_atom_site_fract_z
_atom_site_occupancy
Tm1 Tm 0.0492 0.0000 0.2361 1
Tm2 Tm 0.0992 0.5000 0.9616 1
Tm3 Tm 0.1465 0.0000 0.7069 1
Tm4 Tm 0.1821 0.5000 0.4377 1
Pu1 Pu 0.0000 0.5000 0.5000 1
In1 In 0.2227 0.0000 0.1471 1
```



Record 2
The following is a PBE-GGA calculation of a relaxed Cd2AgAu crystal, from Alexandria via LeMat-Bulk.

As for the total magnetization: 0.00 μB/atom. The calculation puts the energy at -2.109 eV per atom. The energy relative to the elements comes out at -119 meV per atom.

CIF file:
```
data_Cd2AgAu
_space_group_name_H-M_alt 'P 4/m m m'
_space_group_IT_number 123
_space_group_name_Hall '-P 4 2'
_cell_length_a 4.3919
_cell_length_b 4.3919
_cell_length_c 4.0215
_cell_angle_alpha 90.00
_cell_angle_beta 90.00
_cell_angle_gamma 90.00
loop_
_atom_site_label
_atom_site_type_symbol
_atom_site_fract_x
_atom_site_fract_y
_atom_site_fract_z
_atom_site_occupancy
Cd1 Cd 0.0000 0.5000 0.0000 1
Ag1 Ag 0.0000 0.0000 0.5000 1
Au1 Au 0.5000 0.5000 0.5000 1
```



Record 3
The following is a PBE-GGA calculation of a relaxed Tb3TmHg crystal, from Alexandria via LeMat-Bulk.

As for the total magnetization: 0.00 μB/atom. The calculation puts the energy at -3.925 eV per atom. The energy relative to the elements comes out at -192 meV per atom.

CIF file:
```
data_Tb3TmHg
_space_group_name_H-M_alt 'C 1 2/m 1'
_space_group_IT_number 12
_cell_length_a 29.4997
_cell_length_b 3.6546
_cell_length_c 5.4532
_cell_angle_alpha 90.00
_cell_angle_beta 90.10
_cell_angle_gamma 90.00
loop_
_space_group_symop_operation_xyz
'x,y,z'
'-x,-y,-z'
'-x,y,-z'
'x,-y,z'
'x+1/2,y+1/2,z'
'-x+1/2,-y+1/2,-z'
'-x+1/2,y+1/2,-z'
'x+1/2,-y+1/2,z'
loop_
_atom_site_label
_atom_site_type_symbol
_atom_site_fract_x
_atom_site_fract_y
_atom_site_fract_z
_atom_site_occupancy
Tb1 Tb 0.0491 0.0000 0.2464 1
Tb2 Tb 0.1293 0.0000 0.7487 1
Tb3 Tb 0.1617 0.5000 0.2493 1
Tm1 Tm 0.2333 0.5000 0.7498 1
Hg1 Hg 0.0411 0.5000 0.7450 1
```



Record 4
The following is a PBE-GGA calculation of a relaxed SrZn2GaMo crystal, from Alexandria via LeMat-Bulk.

As for the total magnetization: 0.84 μB/atom. The calculation puts the energy at -2.660 eV per atom. The energy relative to the elements comes out at 957 meV per atom.

CIF file:
```
data_SrZn2GaMo
_space_group_name_H-M_alt 'P 4/m m m'
_space_group_IT_number 123
_space_group_name_Hall '-P 4 2'
_cell_length_a 4.7858
_cell_length_b 4.7858
_cell_length_c 5.7849
_cell_angle_alpha 90.00
_cell_angle_beta 90.00
_cell_angle_gamma 90.00
loop_
_atom_site_label
_atom_site_type_symbol
_atom_site_fract_x
_atom_site_fract_y
_atom_site_fract_z
_atom_site_occupancy
Sr1 Sr 0.0000 0.0000 0.0000 1
Zn1 Zn 0.0000 0.5000 0.5000 1
Ga1 Ga 0.0000 0.0000 0.5000 1
Mo1 Mo 0.5000 0.5000 0.0000 1
```